(w)
Density functional theory data (PBE) for a geometry-optimized Rb3LaHf structure.

Summary:
The crystal system is cubic. Its space-group type is No. 221.

Cell lengths 6.943, 6.943, 6.943 Å; angles 90.00, 90.00, 90.00 degrees
Positions (direct):
1 Rb 0.000 0.000 0.500
2 Rb 0.000 0.500 0.000
3 Rb 0.500 0.000 0.000
4 La 0.500 0.500 0.500
5 Hf 0.000 0.000 0.000

=====

(x)
Density functional theory data (PBE) for a geometry-optimized Rb3LaHf structure.

Summary:
The crystal system is cubic. Its space-group type is No. 221.

Cell lengths 7.047, 7.047, 7.047 Å; angles 90.00, 90.00, 90.00 degrees
Positions (direct):
1 Rb 0.000 0.000 0.500
2 Rb 0.000 0.500 0.000
3 Rb 0.500 0.000 0.000
4 La 0.000 0.000 0.000
5 Hf 0.500 0.500 0.500

=====

Which structure wins on stability? (w) wins.

=====

(w)
Density functional theory data (PBE) for a geometry-optimized LaHf2Re2 structure.

Summary:
The crystal system is tetragonal. Its space-group type is No. 127.

Cell lengths 8.044, 8.044, 3.233 Å; angles 90.00, 90.00, 90.00 degrees
Positions (direct):
1 La 0.000 0.000 0.000
2 La 0.500 0.500 0.000
3 Hf 0.140 0.360 0.500
4 Hf 0.360 0.860 0.500
5 Hf 0.640 0.140 0.500
6 Hf 0.860 0.640 0.500
7 Re 0.149 0.649 0.000
8 Re 0.351 0.149 0.000
9 Re 0.649 0.851 0.000
10 Re 0.851 0.351 0.000

=====

(x)
Density functional theory data (PBE) for a geometry-optimized LaHf2Re2 structure.

Summary:
The crystal system is tetragonal. Its space-group type is No. 139.

Cell lengths 6.600, 6.600, 6.600 Å; angles 140.85, 140.85, 56.56 degrees
Positions (direct):
1 La 0.000 0.000 0.000
2 Hf 0.250 0.750 0.500
3 Hf 0.750 0.250 0.500
4 Re 0.392 0.392 0.000
5 Re 0.608 0.608 0.000

=====

Which structure wins on stability? (x) wins.